# 1
Entry from the Open Quantum Materials Database: BeHgAu2 after structural relaxation (PBE).

Lattice parameters (Å, degrees): 4.5924 4.5924 4.5924 60.00 60.00 60.00
Closest atoms and distances in Å follow each position.
Positions (direct):
Be 0.0000 0.0000 0.0000  4 Au 2.81, 4 Hg 2.81
Hg 0.2500 0.2500 0.2500  4 Be 2.81, 4 Au 2.81
Au 0.5000 0.5000 0.5000  4 Au 2.81, 4 Hg 2.81
Au 0.7500 0.7500 0.7500  4 Au 2.81, 4 Be 2.81

Total energy ... -2.3868 eV/atom

=====

# 2
Entry from the Open Quantum Materials Database: Pr2HoNi9 after structural relaxation (PBE).

Lattice parameters (Å, degrees): 8.7348 8.7348 8.7348 33.09 33.09 33.09
Closest atoms and distances in Å follow each position.
Positions (direct):
Pr 0.1381 0.1381 0.1381  12 Ni 2.88-3.21, 3 Pr 3.20
Pr 0.8619 0.8619 0.8619  12 Ni 2.88-3.21, 3 Pr 3.20
Ho 0.0000 0.0000 0.0000  18 Ni 2.87-3.17
Ni 0.0802 0.5790 0.5790  7 Ni 2.42-2.59
Ni 0.3327 0.3327 0.3327  6 Ni 2.42-2.44
Ni 0.4210 0.4210 0.9198  7 Ni 2.42-2.59
Ni 0.4210 0.9198 0.4210  7 Ni 2.42-2.59
Ni 0.5000 0.5000 0.5000  6 Ni 2.59
Ni 0.5790 0.0802 0.5790  7 Ni 2.42-2.59
Ni 0.5790 0.5790 0.0802  7 Ni 2.42-2.59
Ni 0.6673 0.6673 0.6673  6 Ni 2.42-2.44
Ni 0.9198 0.4210 0.4210  7 Ni 2.42-2.59

Formation energy ... -324 meV/atom
Total energy ... -5.6771 eV/atom
M_tot ... 0.050 μB/atom

=====

# 3
Entry from the Open Quantum Materials Database: Sm3Sn7 after structural relaxation (PBE).

Lattice parameters (Å, degrees): 13.1585 13.1585 4.6091 90.00 90.00 160.11
Closest atoms and distances in Å follow each position.
Positions (direct):
Sm 0.0000 0.0000 0.0000  12 Sn 3.24-3.39
Sm 0.1857 0.8143 0.0000  10 Sn 3.26-3.55
Sm 0.8143 0.1857 0.0000  10 Sn 3.26-3.55
Sn 0.0959 0.9041 0.5000  6 Sn 3.24-3.37, 4 Sm 3.28-3.39
Sn 0.2897 0.7103 0.5000  2 Sn 3.07, 4 Sm 3.30
Sn 0.4047 0.5953 0.0000  6 Sn 3.24-3.38, 4 Sm 3.26-3.36
Sn 0.5000 0.5000 0.5000  4 Sm 3.24, 8 Sn 3.37-3.38
Sn 0.5953 0.4047 0.0000  6 Sn 3.24-3.38, 4 Sm 3.26-3.36
Sn 0.7103 0.2897 0.5000  2 Sn 3.07, 4 Sm 3.30
Sn 0.9041 0.0959 0.5000  6 Sn 3.24-3.37, 4 Sm 3.28-3.39

Total energy ... -4.7942 eV/atom
M_tot ... 0.000 μB/atom

=====

# 4
Entry from the Open Quantum Materials Database: LiCuIrPb after structural relaxation (PBE).

Lattice parameters (Å, degrees): 4.4473 4.4473 4.4473 60.00 60.00 60.00
Closest atoms and distances in Å follow each position.
Positions (direct):
Li 0.0000 0.0000 0.0000  4 Pb 2.72, 4 Ir 2.72
Cu 0.5000 0.5000 0.5000  4 Pb 2.72, 4 Ir 2.72
Ir 0.2500 0.2500 0.2500  4 Li 2.72, 4 Cu 2.72
Pb 0.7500 0.7500 0.7500  4 Li 2.72, 4 Cu 2.72

Total energy ... -4.4071 eV/atom
M_tot ... 0.000 μB/atom
Energy above the lowest structure with this stoichiometry ... 19 meV/atom

=====

# 5
Entry from the Open Quantum Materials Database: Y2NiPt after structural relaxation (PBE).

Lattice parameters (Å, degrees): 5.4904 4.4140 6.9579 90.00 90.87 90.00
Closest atoms and distances in Å follow each position.
Positions (direct):
Y 0.1408 0.2500 0.3106  3 Ni 2.80-2.93, 4 Pt 2.86-2.99
Y 0.3544 0.2500 0.8228  4 Ni 2.85-2.99, 3 Pt 2.94-3.07
Y 0.6456 0.7500 0.1772  4 Ni 2.85-2.99, 3 Pt 2.94-3.07
Y 0.8592 0.7500 0.6894  3 Ni 2.80-2.93, 4 Pt 2.86-2.99
Ni 0.1297 0.7500 0.0341  2 Ni 2.67, 6 Y 2.80-2.93
Ni 0.8703 0.2500 0.9659  2 Ni 2.67, 6 Y 2.80-2.93
Pt 0.3429 0.7500 0.5444  7 Y 2.86-3.07, 2 Pt 2.87
Pt 0.6571 0.2500 0.4556  7 Y 2.86-3.07, 2 Pt 2.87

Formation energy ... -837 meV/atom
Total energy ... -6.9757 eV/atom
M_tot ... 0.000 μB/atom

=====

# 6
Entry from the Open Quantum Materials Database: SmHoGe2Ir after structural relaxation (PBE).

Lattice parameters (Å, degrees): 5.7234 5.7234 10.3775 114.70 114.70 44.50
Closest atoms and distances in Å follow each position.
Positions (direct):
Sm 0.1916 0.1916 0.1182  2 Ir 3.05, 6 Ge 3.06-3.17
Sm 0.8084 0.8084 0.8818  2 Ir 3.05, 6 Ge 3.06-3.17
Ho 0.0099 0.0099 0.3321  4 Ir 3.00-3.27, 7 Ge 3.00-3.28
Ho 0.9901 0.9901 0.6679  4 Ir 3.00-3.27, 7 Ge 3.00-3.28
Ge 0.3536 0.3536 0.4479  3 Ir 2.52-2.72, 1 Ge 2.79
Ge 0.4828 0.4828 0.1188  1 Ir 2.59, 1 Ge 2.65
Ge 0.5172 0.5172 0.8812  1 Ir 2.59, 1 Ge 2.65
Ge 0.6464 0.6464 0.5521  3 Ir 2.52-2.72, 1 Ge 2.79
Ir 0.2697 0.2697 0.6603  4 Ge 2.52-2.72
Ir 0.7303 0.7303 0.3397  4 Ge 2.52-2.72

Total energy ... -6.3793 eV/atom
M_tot ... 0.001 μB/atom
Energy above the lowest structure with this stoichiometry ... 0 meV/atom

=====

# 7
Entry from the Open Quantum Materials Database: ZrFeAgSb after structural relaxation (PBE).

Lattice parameters (Å, degrees): 4.6391 4.6391 4.6391 60.00 60.00 60.00
Closest atoms and distances in Å follow each position.
Positions (direct):
Zr 0.0000 0.0000 0.0000  4 Fe 2.84, 4 Ag 2.84
Fe 0.7500 0.7500 0.7500  4 Zr 2.84, 4 Sb 2.84
Ag 0.2500 0.2500 0.2500  4 Zr 2.84, 4 Sb 2.84
Sb 0.5000 0.5000 0.5000  4 Fe 2.84, 4 Ag 2.84

Total energy ... -5.8789 eV/atom
M_tot ... 0.094 μB/atom
Energy above the lowest structure with this stoichiometry ... 0 meV/atom

=====

# 8
Entry from the Open Quantum Materials Database: CoB10H21C12 after structural relaxation (PBE).

Lattice parameters (Å, degrees): 7.2872 9.2027 12.9452 102.07 99.13 101.91
Closest atoms and distances in Å follow each position.
Positions (direct):
Co 0.1706 0.0660 0.2910  6 C 2.00-2.17, 5 B 2.13-2.20
Co 0.8294 0.9340 0.7090  6 C 2.00-2.17, 5 B 2.13-2.20
B 0.0187 0.7700 0.0799  1 H 1.19
B 0.0329 0.1372 0.7011  1 H 1.20
B 0.0567 0.0921 0.8299  1 H 1.20
B 0.0758 0.7068 0.2902  1 H 1.20
B 0.0948 0.2859 0.8189  1 H 1.20
B 0.1201 0.6596 0.1606  1 H 1.19
B 0.1591 0.9563 0.1259  1 H 1.19
B 0.2039 0.8890 0.3779  1 H 1.20
B 0.3195 0.7772 0.2648  1 H 1.19
B 0.3796 0.9666 0.2165  1 H 1.19
B 0.6204 0.0334 0.7835  1 H 1.19
B 0.6805 0.2228 0.7352  1 H 1.19
B 0.7961 0.1110 0.6221  1 H 1.20
B 0.8409 0.0437 0.8741  1 H 1.19
B 0.8799 0.3404 0.8394  1 H 1.19
B 0.9052 0.7141 0.1811  1 H 1.20
B 0.9242 0.2932 0.7098  1 H 1.20
B 0.9433 0.9079 0.1701  1 H 1.20
B 0.9671 0.8628 0.2989  1 H 1.20
B 0.9813 0.2300 0.9201  1 H 1.19
H 0.0009 0.7594 0.8281  1 C 1.09
H 0.0462 0.6088 0.3381  1 B 1.20
H 0.0466 0.2829 0.0142  1 B 1.19
H 0.1310 0.5334 0.1209  1 B 1.19
H 0.1377 0.1940 0.5041  1 C 1.09
H 0.1478 0.1186 0.6459  1 B 1.20
H 0.1522 0.8427 0.6652  1 C 1.09
H 0.1883 0.5771 0.5516  1 C 1.09
H 0.1895 0.0440 0.8617  1 B 1.20
H 0.1932 0.0281 0.0613  1 B 1.19
H 0.2235 0.8992 0.4731  1 B 1.20
H 0.2502 0.3733 0.8457  1 B 1.20
H 0.2662 0.5459 0.7374  1 C 1.09
H 0.2902 0.6523 0.9780  1 C 1.10
H 0.3977 0.3758 0.1577  1 C 1.09
H 0.4097 0.8495 0.9989  1 C 1.10
H 0.4412 0.6826 0.4615  1 C 1.09
H 0.4467 0.7152 0.2788  1 B 1.19
H 0.4768 0.9700 0.8055  1 B 1.19
H 0.4884 0.9800 0.6078  1 C 1.09
H 0.4928 0.2646 0.9229  1 C 1.10
H 0.5072 0.7354 0.0771  1 C 1.10
H 0.5116 0.0200 0.3922  1 C 1.09
H 0.5232 0.0300 0.1945  1 B 1.19
H 0.5533 0.2848 0.7212  1 B 1.19
H 0.5588 0.3174 0.5385  1 C 1.09
H 0.5903 0.1505 0.0011  1 C 1.10
H 0.6023 0.6242 0.8423  1 C 1.09
H 0.7098 0.3477 0.0220  1 C 1.10
H 0.7338 0.4541 0.2626  1 C 1.09
H 0.7498 0.6267 0.1543  1 B 1.20
H 0.7765 0.1008 0.5269  1 B 1.20
H 0.8068 0.9719 0.9387  1 B 1.19
H 0.8105 0.9560 0.1383  1 B 1.20
H 0.8117 0.4229 0.4484  1 C 1.09
H 0.8478 0.1573 0.3348  1 C 1.09
H 0.8522 0.8814 0.3541  1 B 1.20
H 0.8623 0.8060 0.4959  1 C 1.09
H 0.8690 0.4666 0.8791  1 B 1.19
H 0.9534 0.7171 0.9858  1 B 1.19
H 0.9538 0.3912 0.6619  1 B 1.20
H 0.9991 0.2406 0.1719  1 C 1.09
C 0.0008 0.7975 0.6617  1 H 1.09
C 0.0790 0.2455 0.2514  1 H 1.09
C 0.1523 0.2207 0.4274  1 H 1.09
C 0.2563 0.8022 0.1226  1 C 1.52, 3 B 1.68-1.70
C 0.2834 0.3016 0.2893  3 C 1.42-1.45
C 0.3291 0.2852 0.3988  3 C 1.42-1.45
C 0.3376 0.6135 0.5949  1 H 1.09
C 0.3729 0.7567 0.0392  3 H 1.10
C 0.3764 0.9629 0.3350  1 H 1.09
C 0.3823 0.5961 0.7022  1 H 1.09
C 0.4320 0.3616 0.2394  1 H 1.09
C 0.4771 0.6722 0.5441  1 H 1.09
C 0.5229 0.3278 0.4559  1 H 1.09
C 0.5680 0.6384 0.7606  1 H 1.09
C 0.6177 0.4039 0.2978  1 H 1.09
C 0.6236 0.0371 0.6650  1 H 1.09
C 0.6271 0.2433 0.9608  3 H 1.10
C 0.6624 0.3865 0.4051  1 H 1.09
C 0.6709 0.7148 0.6012  3 C 1.42-1.45
C 0.7166 0.6984 0.7107  3 C 1.42-1.45
C 0.7437 0.1978 0.8774  1 C 1.52, 3 B 1.68-1.70
C 0.8477 0.7793 0.5726  1 H 1.09
C 0.9210 0.7545 0.7486  1 H 1.09
C 0.9992 0.2025 0.3383  1 H 1.09

Total energy ... -5.8742 eV/atom
M_tot ... 0.000 μB/atom

=====

# 9
Entry from the Open Quantum Materials Database: Ag3I4 after structural relaxation (PBE).

Lattice parameters (Å, degrees): 7.6613 7.6613 7.6613 131.63 131.63 70.81
Closest atoms and distances in Å follow each position.
Positions (direct):
Ag 0.0000 0.0000 0.0000  4 I 2.82
Ag 0.2500 0.7500 0.5000  4 I 2.79
Ag 0.7500 0.2500 0.5000  4 I 2.79
I 0.1571 0.1571 0.5449  3 Ag 2.79-2.82
I 0.3878 0.8429 0.0000  3 Ag 2.79-2.82
I 0.6122 0.6122 0.4551  3 Ag 2.79-2.82
I 0.8429 0.3878 0.0000  3 Ag 2.79-2.82

Total energy ... -2.2840 eV/atom
Energy above the lowest structure with this stoichiometry ... 7 meV/atom

=====

# 10
Entry from the Open Quantum Materials Database: TlSbAu after structural relaxation (PBE).

Lattice parameters (Å, degrees): 5.2164 5.2164 6.2052 90.00 90.00 120.00
Closest atoms and distances in Å follow each position.
Positions (direct):
Tl 0.3333 0.6667 0.2500  5 Sb 3.01-3.10
Tl 0.6667 0.3333 0.7500  5 Sb 3.01-3.10
Sb 0.3333 0.6667 0.7500  5 Tl 3.01-3.10
Sb 0.6667 0.3333 0.2500  5 Tl 3.01-3.10
Au 0.0000 0.0000 0.0000  2 Au 3.10, 6 Tl 3.39, 6 Sb 3.39
Au 0.0000 0.0000 0.5000  2 Au 3.10, 6 Tl 3.39, 6 Sb 3.39

Total energy ... -2.9587 eV/atom
Energy above the lowest structure with this stoichiometry ... 392 meV/atom

=====

# 11
Entry from the Open Quantum Materials Database: TaCoIr after structural relaxation (PBE).

Lattice parameters (Å, degrees): 4.0759 4.0759 4.0759 60.00 60.00 60.00
Closest atoms and distances in Å follow each position.
Positions (direct):
Ta 0.0000 0.0000 0.0000  4 Co 2.50
Co 0.7500 0.7500 0.7500  4 Ta 2.50, 4 Ir 2.50
Ir 0.5000 0.5000 0.5000  4 Co 2.50

Formation energy ... 90 meV/atom
Total energy ... -9.1816 eV/atom
M_tot ... 0.077 μB/atom
Energy above the lowest structure with this stoichiometry ... 562 meV/atom

=====

# 12
Entry from the Open Quantum Materials Database: HoTlPd after structural relaxation (PBE).

Lattice parameters (Å, degrees): 7.0301 4.4457 8.6347 90.00 90.00 90.00
Closest atoms and distances in Å follow each position.
Positions (direct):
Ho 0.0407 0.2500 0.1840  5 Pd 2.98-3.19, 3 Tl 3.28-3.32
Ho 0.4593 0.7500 0.6840  5 Pd 2.98-3.19, 3 Tl 3.28-3.32
Ho 0.5407 0.2500 0.3160  5 Pd 2.98-3.19, 3 Tl 3.28-3.32
Ho 0.9593 0.7500 0.8160  5 Pd 2.98-3.19, 3 Tl 3.28-3.32
Tl 0.1528 0.2500 0.5576  4 Pd 2.78-3.01
Tl 0.3472 0.7500 0.0576  4 Pd 2.78-3.01
Tl 0.6528 0.2500 0.9424  4 Pd 2.78-3.01
Tl 0.8472 0.7500 0.4424  4 Pd 2.78-3.01
Pd 0.2326 0.2500 0.8733  4 Tl 2.78-3.01, 3 Ho 2.98-3.00
Pd 0.2674 0.7500 0.3733  4 Tl 2.78-3.01, 3 Ho 2.98-3.00
Pd 0.7326 0.2500 0.6267  4 Tl 2.78-3.01, 3 Ho 2.98-3.00
Pd 0.7674 0.7500 0.1267  4 Tl 2.78-3.01, 3 Ho 2.98-3.00

Total energy ... -4.6503 eV/atom
M_tot ... 0.001 μB/atom
Energy above the lowest structure with this stoichiometry ... 0 meV/atom